The following is a meta-GGA SCAN calculation of HfTe2MoI at its PBEsol-relaxed geometry, from the Alexandria database.

Unit cell a=5.212 b=5.212 c=5.249 alpha=90.00 beta=90.00 gamma=90.00
Space group P4/mmm (No. 123)
Asymmetric unit:
Hf 0.000 0.000 0.000 [1 per cell]
Te 0.000 0.500 0.500 [2 per cell]
Mo 0.500 0.500 0.500 [1 per cell]
I 0.500 0.500 0.000 [1 per cell]

Results
The total energy comes out at -204.43 eV for the cell shown. The value obtained for the uncorrected formation energy is 0.87 eV/atom.